1.
Below is an optimized crystal structure of Ca8Ag2Ir, with properties calculated at the PBE-GGA level.

Cell lengths 5.3009, 7.1255, 9.7085 Å; angles 106.85, 105.84, 90.00 degrees
Closest atoms and distances in Å follow each position.
Fractional positions:
Ca  0.4109  0.5856  0.8218  1 Ir 2.92
Ca  0.3475  0.0414  0.6950  1 Ir 2.95, 1 Ag 3.24
Ca  0.5891  0.4144  0.1782  1 Ir 2.92
Ca  0.9732  0.1968  0.9465  2 Ir 3.11, 1 Ag 3.19, 3 Ca 3.25-3.48
Ca  0.7918  0.6931  0.5836  3 Ag 3.07-3.36
Ca  0.6525  0.9586  0.3050  1 Ir 2.95, 1 Ag 3.24
Ca  0.0268  0.8032  0.0535  2 Ir 3.11, 1 Ag 3.19, 3 Ca 3.25-3.48
Ca  0.2082  0.3069  0.4164  3 Ag 3.07-3.36
Ir  0.5000  0.0000  0.0000  8 Ca 2.92-3.11
Ag  0.8161  0.2865  0.6322  7 Ca 3.07-3.36
Ag  0.1839  0.7135  0.3678  7 Ca 3.07-3.36

Computed properties:
Uncorrected energy: -2.985 eV/atom

***

2.
Below is an optimized crystal structure of Tm5CdBi, with properties calculated at the PBE-GGA level.

Cell lengths 6.4471, 6.4471, 13.1726 Å; angles 66.49, 66.49, 59.50 degrees
Closest atoms and distances in Å follow each position.
Fractional positions:
Tm  0.3294  0.3107  0.0066  1 Bi 3.13, 3 Tm 3.34-3.50
Tm  0.8931  0.1069  0.7500  4 Tm 3.17-3.32, 2 Bi 3.18-3.22, 2 Cd 3.36
Tm  0.9152  0.6108  0.7174  1 Cd 3.03, 5 Tm 3.17-3.34, 2 Bi 3.24-3.25
Tm  0.6108  0.9152  0.2174  1 Cd 3.03, 5 Tm 3.17-3.34, 2 Bi 3.24-3.25
Tm  0.1069  0.8931  0.2500  4 Tm 3.17-3.32, 2 Bi 3.18-3.22, 2 Cd 3.36
Tm  0.6893  0.6706  0.4934  1 Bi 3.13, 3 Tm 3.34-3.50
Tm  0.0848  0.3892  0.2826  1 Cd 3.03, 5 Tm 3.17-3.34, 2 Bi 3.24-3.25
Tm  0.3107  0.3294  0.5066  1 Bi 3.13, 3 Tm 3.34-3.50
Tm  0.6706  0.6893  0.9934  1 Bi 3.13, 3 Tm 3.34-3.50
Tm  0.3892  0.0848  0.7826  1 Cd 3.03, 5 Tm 3.17-3.34, 2 Bi 3.24-3.25
Cd  0.0000  0.0000  0.0000  4 Tm 3.03-3.36
Cd  0.0000  0.0000  0.5000  4 Tm 3.03-3.36
Bi  0.3905  0.6095  0.7500  8 Tm 3.13-3.25
Bi  0.6095  0.3905  0.2500  8 Tm 3.13-3.25

Computed properties:
Uncorrected energy: -3.960 eV/atom

***

3.
Below is an optimized crystal structure of CuHg3Rh3O8, with properties calculated at the PBE-GGA level.

Cell lengths 6.0527, 6.1299, 7.4002 Å; angles 105.01, 90.00, 119.58 degrees
Closest atoms and distances in Å follow each position.
Fractional positions:
O  0.6991  0.8886  0.6368  1 Cu 1.98, 2 Rh 2.02-2.03
O  0.6945  0.3890  0.6446  3 Rh 2.03-2.04
O  0.2008  0.4017  0.6453  2 Rh 2.01, 1 Cu 2.09
O  0.7992  0.5983  0.3547  2 Rh 2.01, 1 Cu 2.09
O  0.3055  0.6110  0.3554  3 Rh 2.03-2.04
O  0.8105  0.1114  0.3632  1 Cu 1.98, 2 Rh 2.02-2.03
O  0.3009  0.1114  0.3632  1 Cu 1.98, 2 Rh 2.02-2.03
O  0.1895  0.8886  0.6368  1 Cu 1.98, 2 Rh 2.02-2.03
Hg  0.0000  0.5000  0.0000  4 O 2.94, 4 Hg 3.03-3.06
Hg  0.5000  0.5000  0.0000  4 O 2.94, 4 Hg 3.03-3.06
Hg  0.0000  0.0000  0.0000  4 O 2.97, 4 Hg 3.06
Rh  0.0000  0.5000  0.5000  6 O 2.01-2.04
Rh  0.5000  0.5000  0.5000  6 O 2.01-2.04
Rh  0.5000  0.0000  0.5000  6 O 2.03
Cu  0.0000  0.0000  0.5000  6 O 1.98-2.09

Computed properties:
Uncorrected energy: -4.898 eV/atom

***

4.
Below is an optimized crystal structure of PaHSeBr, with properties calculated at the PBE-GGA level.

Cell lengths 3.9343, 3.9343, 7.5681 Å; angles 90.09, 104.98, 120.00 degrees
Closest atoms and distances in Å follow each position.
Fractional positions:
Se  0.0050  0.8663  0.8713  3 Pa 2.85, 3 H 2.93
Br  0.3484  0.0396  0.3880  3 H 2.95, 3 Pa 3.03
H  0.8414  0.2853  0.1267  3 Pa 2.27
Pa  0.4974  0.6132  0.1106  3 H 2.27

Computed properties:
Uncorrected energy: -5.645 eV/atom

***

5.
Below is an optimized crystal structure of NdGdGaTc, with properties calculated at the PBE-GGA level.

Cell lengths 5.0565, 5.0565, 5.0565 Å; angles 60.00, 60.00, 60.00 degrees
Closest atoms and distances in Å follow each position.
Fractional positions:
Ga  0.2500  0.2500  0.2500  4 Gd 3.10, 4 Nd 3.10
Tc  0.7500  0.7500  0.7500  4 Nd 3.10, 4 Gd 3.10
Gd  0.0000  0.0000  0.0000  4 Tc 3.10, 4 Ga 3.10
Nd  0.5000  0.5000  0.5000  4 Tc 3.10, 4 Ga 3.10

Computed properties:
Uncorrected energy: -8.191 eV/atom

***

6.
Below is an optimized crystal structure of ZrBiPRu2, with properties calculated at the PBE-GGA level.

Cell lengths 4.3614, 5.3455, 4.3614 Å; angles 90.00, 90.00, 90.00 degrees
Closest atoms and distances in Å follow each position.
Fractional positions:
Ru  0.0000  0.0000  0.5000  2 P 2.18
Ru  0.5000  0.0000  0.0000  2 P 2.18
Bi  0.0000  0.5000  0.0000  2 P 2.67
P  0.0000  0.0000  0.0000  4 Ru 2.18
Zr  0.5000  0.5000  0.5000  4 Bi 3.08, 8 Ru 3.45

Computed properties:
Uncorrected energy: -6.960 eV/atom

***

7.
Below is an optimized crystal structure of Dy3PaO7, with properties calculated at the PBE-GGA level.

Cell lengths 6.6314, 6.6314, 7.7156 Å; angles 90.00, 90.00, 109.71 degrees
Closest atoms and distances in Å follow each position.
Fractional positions:
O  0.3392  0.0881  0.4696  1 Pa 2.14, 1 Dy 2.29
O  0.0881  0.3392  0.5304  1 Pa 2.14, 1 Dy 2.29
O  0.3651  0.6349  0.2500  4 Dy 2.34-2.42
O  0.0870  0.3386  0.9689  1 Pa 2.14, 1 Dy 2.28
O  0.0996  0.9004  0.7500  2 Pa 2.21, 2 Dy 2.32
O  0.3386  0.0870  0.0311  1 Pa 2.14, 1 Dy 2.28
O  0.6614  0.9130  0.5311  1 Pa 2.14, 1 Dy 2.28
O  0.9119  0.6608  0.0304  1 Pa 2.14, 1 Dy 2.29
O  0.6349  0.3651  0.7500  4 Dy 2.34-2.42
O  0.6327  0.3673  0.2500  4 Dy 2.25-2.41
O  0.6608  0.9119  0.9696  1 Pa 2.14, 1 Dy 2.29
O  0.9130  0.6614  0.4689  1 Pa 2.14, 1 Dy 2.28
O  0.9004  0.0996  0.2500  2 Pa 2.21, 2 Dy 2.32
O  0.3673  0.6327  0.7500  4 Dy 2.25-2.41
Dy  0.0071  0.5306  0.7498  7 O 2.25-2.49
Dy  0.4992  0.4992  0.5000  8 O 2.41-2.60
Dy  0.9929  0.4694  0.2498  7 O 2.25-2.49
Dy  0.5008  0.5008  0.0000  8 O 2.41-2.60
Dy  0.4694  0.9929  0.7502  7 O 2.25-2.49
Dy  0.5306  0.0071  0.2502  7 O 2.25-2.49
Pa  0.9999  0.9999  0.0000  6 O 2.14-2.21
Pa  0.0001  0.0001  0.5000  6 O 2.14-2.21

Computed properties:
Uncorrected energy: -8.853 eV/atom

***

8.
Below is an optimized crystal structure of CdMo2P, with properties calculated at the PBE-GGA level.

Cell lengths 4.9208, 4.9208, 5.0066 Å; angles 61.09, 61.09, 40.84 degrees
Closest atoms and distances in Å follow each position.
Fractional positions:
Mo  0.9997  0.9997  0.0264  2 P 2.34
Mo  0.1840  0.1840  0.3972  2 P 2.44, 1 Mo 2.70
Cd  0.7959  0.7959  0.7542  3 P 2.66-2.70, 3 Mo 2.83-2.90
P  0.5204  0.5204  0.3222  4 Mo 2.34-2.44

Computed properties:
Distance to the lowest polymorph of the same formula: 248 meV per atom